No. 1
# AcPa2SnS8

An optimized crystal structure of AcPa2SnS8 (GGA-PBE, the Alexandria database).

Geometry as CIF:
```
data_AcPa2SnS8
_chemical_formula_sum 'Ac1 Pa2 Sn1 S8'
_symmetry_space_group_name_H-M 'P 1'
_symmetry_Int_Tables_number 1
_cell_length_a 6.431
_cell_length_b 6.236
_cell_length_c 8.419
_cell_angle_alpha 90.00
_cell_angle_beta 90.00
_cell_angle_gamma 87.94
loop_
_symmetry_equiv_pos_as_xyz
'x,y,z'
loop_
_atom_site_label
_atom_site_type_symbol
_atom_site_fract_x
_atom_site_fract_y
_atom_site_fract_z
S1 S 0.828 0.242 0.228
S2 S 0.172 0.758 0.228
S3 S 0.172 0.758 0.772
S4 S 0.348 0.282 0.000
S5 S 0.652 0.718 0.000
S6 S 0.360 0.288 0.500
S7 S 0.828 0.242 0.772
Sn1 Sn 0.000 0.000 0.000
S8 S 0.640 0.712 0.500
Pa1 Pa 0.500 0.500 0.244
Pa2 Pa 0.500 0.500 0.756
Ac1 Ac 0.000 0.000 0.500
```

Results
Total magnetic moment (μB/cell): 0.00
SG: P2/m, No. 10
Uncorrected formation energy (meV/atom): -1345.7
Final energy (eV per atom): -6.356



No. 2
# AcPaTe2S

An optimized crystal structure of AcPaTe2S (GGA-PBE, the Alexandria database).

Geometry as CIF:
```
data_AcPaTe2S
_chemical_formula_sum 'Ac2 Pa2 Te4 S2'
_symmetry_space_group_name_H-M 'P 1'
_symmetry_Int_Tables_number 1
_cell_length_a 4.536
_cell_length_b 4.536
_cell_length_c 15.715
_cell_angle_alpha 90.00
_cell_angle_beta 90.00
_cell_angle_gamma 90.00
loop_
_symmetry_equiv_pos_as_xyz
'x,y,z'
loop_
_atom_site_label
_atom_site_type_symbol
_atom_site_fract_x
_atom_site_fract_y
_atom_site_fract_z
Ac1 Ac 0.500 0.000 0.611
Ac2 Ac 0.000 0.500 0.389
S1 S 0.500 0.500 0.500
Te1 Te 0.000 0.500 0.716
Pa1 Pa 0.000 0.500 0.906
Pa2 Pa 0.500 0.000 0.094
Te2 Te 0.500 0.000 0.892
Te3 Te 0.500 0.000 0.284
Te4 Te 0.000 0.500 0.108
S2 S 0.000 0.000 0.500
```

Results
Total magnetic moment (μB/cell): 2.65
SG: P4/nmm, No. 129
Uncorrected formation energy (meV/atom): -1244.0
Final energy (eV per atom): -6.047